[1]
PBEsol ScCd2Pt2, optimized geometry; N(E_F) = 4.79 states/eV per cell; total magnetization = 0.00 μB per formula unit; crystal system = tetragonal; energy = -5.04 eV per atom; calculated volume = 191.3 Å³ per cell
1.0
3.7779 0.0000 0.0000
0.0000 3.7779 0.0000
0.0000 0.0000 13.4016
Sc Cd Pt
2 4 4
Direct
0.0000 0.0000 0.0000
0.5000 0.5000 0.5000
0.0000 0.5000 0.2500
0.0000 0.5000 0.7500
0.5000 0.0000 0.2500
0.5000 0.0000 0.7500
0.0000 0.0000 0.4050
0.0000 0.0000 0.5950
0.5000 0.5000 0.0950
0.5000 0.5000 0.9050


[2]
PBEsol LaReH2, optimized geometry; N(E_F) = 13.48 states/eV per cell; total magnetization = 0.54 μB per formula unit; crystal system = cubic; energy = -5.67 eV per atom; calculated volume = 200.0 Å³ per cell
1.0
5.8480 0.0000 0.0000
0.0000 5.8480 0.0000
0.0000 0.0000 5.8480
La Re H
4 4 8
Direct
0.0000 0.0000 0.0000
0.0000 0.5000 0.5000
0.5000 0.0000 0.5000
0.5000 0.5000 0.0000
0.0000 0.0000 0.5000
0.0000 0.5000 0.0000
0.5000 0.0000 0.0000
0.5000 0.5000 0.5000
0.2500 0.2500 0.2500
0.2500 0.2500 0.7500
0.2500 0.7500 0.2500
0.2500 0.7500 0.7500
0.7500 0.2500 0.2500
0.7500 0.2500 0.7500
0.7500 0.7500 0.2500
0.7500 0.7500 0.7500


[3]
PBEsol ErMn2, optimized geometry; N(E_F) = 8.30 states/eV per cell; total magnetization = 0.66 μB per formula unit; crystal system = cubic; energy = -8.05 eV per atom; calculated volume = 87.9 Å³ per cell
1.0
0.0000 3.5294 3.5294
3.5294 0.0000 3.5294
3.5294 3.5294 0.0000
Er Mn
2 4
Direct
0.1250 0.1250 0.1250
0.8750 0.8750 0.8750
0.0000 0.5000 0.5000
0.5000 0.0000 0.5000
0.5000 0.5000 0.0000
0.5000 0.5000 0.5000


[4]
PBEsol Ti2Sb2P, optimized geometry; N(E_F) = 6.56 states/eV per cell; total magnetization = 0.00 μB per formula unit; crystal system = tetragonal; energy = -6.72 eV per atom; formation energy (no corrections) = -0.41 eV per atom; calculated volume = 186.7 Å³ per cell
1.0
6.8918 0.0000 0.0000
0.0000 6.8918 0.0000
0.0000 0.0000 3.9309
Ti Sb P
4 4 2
Direct
0.1561 0.3439 0.0000
0.3439 0.8439 0.0000
0.6561 0.1561 0.0000
0.8439 0.6561 0.0000
0.1501 0.6501 0.5000
0.3499 0.1501 0.5000
0.6501 0.8499 0.5000
0.8499 0.3499 0.5000
0.0000 0.0000 0.0000
0.5000 0.5000 0.0000


[5]
PBEsol TeOs3Ru, optimized geometry; N(E_F) = 9.84 states/eV per cell; total magnetization = 1.35 μB per formula unit; crystal system = cubic; energy = -7.04 eV per atom; formation energy (no corrections) = 3.03 eV per atom; calculated volume = 103.0 Å³ per cell
1.0
4.6871 0.0000 0.0000
0.0000 4.6871 0.0000
0.0000 0.0000 4.6871
Te Os Ru
1 3 1
Direct
0.0000 0.0000 0.0000
0.0000 0.0000 0.5000
0.0000 0.5000 0.0000
0.5000 0.0000 0.0000
0.5000 0.5000 0.5000


[6]
PBEsol Nd2Ti4O11, optimized geometry; N(E_F) = 0.00 states/eV per cell; total magnetization = 0.00 μB per formula unit; crystal system = monoclinic; energy = -9.20 eV per atom; formation energy (no corrections) = -3.24 eV per atom; calculated volume = 411.1 Å³ per cell
1.0
6.7404 -2.5399 0.0000
6.7404 2.5399 0.0000
-4.0592 0.0000 12.0060
Nd Ti O
4 8 22
Direct
0.1931 0.2030 0.0931
0.2030 0.1931 0.5931
0.7970 0.8069 0.4069
0.8069 0.7970 0.9069
0.0499 0.1709 0.3092
0.1709 0.0499 0.8092
0.4151 0.5243 0.0975
0.4757 0.5849 0.4025
0.5243 0.4151 0.5975
0.5849 0.4757 0.9025
0.8291 0.9501 0.1908
0.9501 0.8291 0.6908
0.0528 0.3887 0.2761
0.0666 0.6156 0.0958
0.0929 0.8163 0.3322
0.1432 0.5761 0.5611
0.1837 0.9071 0.1678
0.2811 0.5832 0.9435
0.3495 0.6505 0.7500
0.3844 0.9334 0.4042
0.3887 0.0528 0.7761
0.4168 0.7189 0.5565
0.4239 0.8568 0.9389
0.5761 0.1432 0.0611
0.5832 0.2811 0.4435
0.6113 0.9472 0.2239
0.6156 0.0666 0.5958
0.6505 0.3495 0.2500
0.7189 0.4168 0.0565
0.8163 0.0929 0.8322
0.8568 0.4239 0.4389
0.9071 0.1837 0.6678
0.9334 0.3844 0.9042
0.9472 0.6113 0.7239


[7]
PBEsol MgZrAs, optimized geometry; N(E_F) = 2.37 states/eV per cell; total magnetization = 0.00 μB per formula unit; crystal system = hexagonal; energy = -5.57 eV per atom; calculated volume = 56.7 Å³ per cell
1.0
4.3339 0.0000 0.0000
-2.1670 3.7533 0.0000
0.0000 0.0000 3.4859
Mg Zr As
1 1 1
Direct
0.0000 0.0000 0.0000
0.6667 0.3333 0.5000
0.3333 0.6667 0.0000


[8]
PBEsol NpCdPt2, optimized geometry; N(E_F) = 30.58 states/eV per cell; total magnetization = 3.22 μB per formula unit; crystal system = cubic; energy = -7.53 eV per atom; calculated volume = 299.3 Å³ per cell
1.0
6.6891 0.0000 0.0000
0.0000 6.6891 0.0000
0.0000 0.0000 6.6891
Np Cd Pt
4 4 8
Direct
0.0000 0.0000 0.0000
0.0000 0.5000 0.5000
0.5000 0.0000 0.5000
0.5000 0.5000 0.0000
0.0000 0.0000 0.5000
0.0000 0.5000 0.0000
0.5000 0.0000 0.0000
0.5000 0.5000 0.5000
0.2500 0.2500 0.2500
0.2500 0.2500 0.7500
0.2500 0.7500 0.2500
0.2500 0.7500 0.7500
0.7500 0.2500 0.2500
0.7500 0.2500 0.7500
0.7500 0.7500 0.2500
0.7500 0.7500 0.7500


[9]
PBEsol La2IrAu, optimized geometry; N(E_F) = 5.21 states/eV per cell; total magnetization = 0.00 μB per formula unit; crystal system = trigonal; energy = -6.80 eV per atom; calculated volume = 320.3 Å³ per cell
1.0
4.1818 0.0000 0.0000
-2.0909 3.6216 0.0000
0.0000 0.0000 21.1511
La Ir Au
6 3 3
Direct
0.0000 0.0000 0.2400
0.0000 0.0000 0.7600
0.3333 0.6667 0.4267
0.3333 0.6667 0.9067
0.6667 0.3333 0.0933
0.6667 0.3333 0.5733
0.0000 0.0000 0.5000
0.3333 0.6667 0.1667
0.6667 0.3333 0.8333
0.0000 0.0000 0.0000
0.3333 0.6667 0.6667
0.6667 0.3333 0.3333


[10]
PBEsol Ca2SeBr, optimized geometry; N(E_F) = 2.06 states/eV per cell; distance to the lowest polymorph of the same formula = 5.238 kcal/mol of atoms; total magnetization = 0.00 μB per formula unit; crystal system = tetragonal; energy = -3.97 eV per atom; formation energy (no corrections) = -1.47 eV per atom; calculated volume = 95.7 Å³ per cell
1.0
3.6258 0.0000 0.0000
0.0000 3.6258 0.0000
0.0000 0.0000 7.2791
Ca Se Br
2 1 1
Direct
0.0000 0.0000 0.2277
0.0000 0.0000 0.7723
0.5000 0.5000 0.0000
0.5000 0.5000 0.5000


[11]
PBEsol Hf3AsIr, optimized geometry; N(E_F) = 2.90 states/eV per cell; total magnetization = 0.00 μB per formula unit; crystal system = cubic; energy = -9.15 eV per atom; calculated volume = 120.8 Å³ per cell
1.0
4.9437 0.0000 0.0000
0.0000 4.9437 0.0000
0.0000 0.0000 4.9437
Hf As Ir
3 1 1
Direct
0.0000 0.0000 0.5000
0.0000 0.5000 0.0000
0.5000 0.0000 0.0000
0.5000 0.5000 0.5000
0.0000 0.0000 0.0000


[12]
PBEsol ZrFePb2, optimized geometry; N(E_F) = 4.93 states/eV per cell; distance to the lowest polymorph of the same formula = 5.426 kcal/mol of atoms; total magnetization = 3.47 μB per formula unit; crystal system = tetragonal; energy = -6.18 eV per atom; calculated volume = 170.0 Å³ per cell
1.0
4.3617 0.0000 0.0000
0.0000 4.3617 0.0000
0.0000 0.0000 8.9363
Zr Fe Pb
2 2 4
Direct
0.0000 0.0000 0.0000
0.5000 0.5000 0.5000
0.0000 0.0000 0.5000
0.5000 0.5000 0.0000
0.0000 0.5000 0.2500
0.0000 0.5000 0.7500
0.5000 0.0000 0.2500
0.5000 0.0000 0.7500